(1)
First-principles (PBE) data for a geometry-optimized ZrZnCo2H structure, as listed in Alexandria.

Cell lengths 3.892, 3.892, 3.869 Å; angles 90.00, 90.00, 90.00 degrees
Atoms (fractional coordinates):
Zr 0.000 0.000 0.500
Co 0.500 0.000 0.000
Co 0.000 0.500 0.000
H 0.000 0.000 0.000
Zn 0.500 0.500 0.500

Computed properties:
- space-group type = No. 123
- E (eV/atom) = -5.583
- calculated volume (A^3/atom) = 11.72
- magnetic moment (μB per atom) = 0.00


(2)
First-principles (PBE) data for a geometry-optimized CaCe3Ga4 structure, as listed in Alexandria.

Cell lengths 5.127, 5.127, 9.006 Å; angles 73.46, 73.46, 60.00 degrees
Atoms (fractional coordinates):
Ga 0.125 0.125 0.625
Ga 0.625 0.625 0.125
Ga 0.375 0.375 0.875
Ga 0.875 0.875 0.375
Ca 0.000 0.000 0.000
Ce 0.747 0.747 0.758
Ce 0.500 0.500 0.500
Ce 0.253 0.253 0.242

Computed properties:
- space-group type = No. 166
- E (eV/atom) = -4.439
- calculated volume (A^3/atom) = 24.20
- magnetic moment (μB per atom) = 0.24
- energy of formation from the pure elements (meV/atom) = -450


(3)
First-principles (PBE) data for a geometry-optimized Li2Tb4Os structure, as listed in Alexandria.

Cell lengths 4.998, 4.998, 8.672 Å; angles 73.25, 73.25, 60.00 degrees
Atoms (fractional coordinates):
Li 0.744 0.744 0.768
Li 0.256 0.256 0.232
Tb 0.880 0.880 0.360
Tb 0.373 0.373 0.882
Tb 0.120 0.120 0.640
Tb 0.627 0.627 0.118
Os 0.000 0.000 0.000

Computed properties:
- space-group type = No. 166
- E (eV/atom) = -4.719
- calculated volume (A^3/atom) = 25.28
- magnetic moment (μB per atom) = 0.00
- energy of formation from the pure elements (meV/atom) = 78


(4)
First-principles (PBE) data for a geometry-optimized MnZn2Ir structure, as listed in Alexandria.

Cell lengths 3.676, 2.849, 6.100 Å; angles 62.33, 90.00, 90.00 degrees
Atoms (fractional coordinates):
Mn 0.500 0.750 0.750
Zn 0.000 0.994 0.006
Zn 0.000 0.506 0.494
Ir 0.500 0.250 0.250

Computed properties:
- space-group type = No. 10
- E (eV/atom) = -5.232
- calculated volume (A^3/atom) = 14.14
- magnetic moment (μB per atom) = 0.95
- energy of formation from the pure elements (meV/atom) = -88


(5)
First-principles (PBE) data for a geometry-optimized Ba2Li2PuO6 structure, as listed in Alexandria.

Cell lengths 5.987, 5.987, 6.400 Å; angles 62.11, 62.11, 60.00 degrees
Atoms (fractional coordinates):
O 0.764 0.236 0.763
O 0.236 0.764 0.237
O 0.236 0.236 0.763
O 0.236 0.764 0.763
O 0.764 0.236 0.237
O 0.764 0.764 0.237
Li 0.576 0.576 0.271
Li 0.424 0.424 0.729
Pu 0.000 0.000 0.000
Ba 0.774 0.774 0.678
Ba 0.226 0.226 0.322

Computed properties:
- space-group type = No. 166
- E (eV/atom) = -7.213
- uncorrected formation energy (eV per atom) = -2.5081
- calculated volume (A^3/atom) = 15.20
- magnetic moment (μB per atom) = 0.18


(6)
First-principles (PBE) data for a geometry-optimized Zr2NbV9 structure, as listed in Alexandria.

Cell lengths 5.239, 5.239, 8.575 Å; angles 72.21, 72.21, 60.00 degrees
Atoms (fractional coordinates):
V 0.419 0.920 0.241
V 0.920 0.419 0.241
V 0.500 0.500 0.500
V 0.419 0.419 0.241
V 0.333 0.333 0.001
V 0.581 0.080 0.759
V 0.080 0.581 0.759
V 0.667 0.667 0.999
V 0.581 0.581 0.759
Nb 0.000 0.000 0.000
Zr 0.857 0.857 0.430
Zr 0.143 0.143 0.570

Computed properties:
- space-group type = No. 166
- E (eV/atom) = -8.967
- calculated volume (A^3/atom) = 15.89
- magnetic moment (μB per atom) = 0.00
- energy of formation from the pure elements (meV/atom) = 136


(7)
First-principles (PBE) data for a geometry-optimized SmZrN2 structure, as listed in Alexandria.

Cell lengths 3.328, 3.328, 6.194 Å; angles 74.41, 74.41, 60.00 degrees
Atoms (fractional coordinates):
Sm 0.496 0.496 0.512
N 0.073 0.073 0.780
N 0.262 0.262 0.215
Zr 0.669 0.669 0.992

Computed properties:
- space-group type = No. 160
- E (eV/atom) = -8.903
- uncorrected formation energy (eV per atom) = -1.4239
- calculated volume (A^3/atom) = 14.12
- magnetic moment (μB per atom) = 0.00


(8)
First-principles (PBE) data for a geometry-optimized BaSrVAs2 structure, as listed in Alexandria.

Cell lengths 5.118, 5.232, 5.118 Å; angles 90.00, 90.00, 90.00 degrees
Atoms (fractional coordinates):
V 0.000 0.000 0.000
As 0.500 0.000 0.000
As 0.000 0.000 0.500
Ba 0.000 0.500 0.000
Sr 0.500 0.500 0.500

Computed properties:
- space-group type = No. 123
- E (eV/atom) = -4.458
- calculated volume (A^3/atom) = 27.41
- magnetic moment (μB per atom) = 0.22
- energy of formation from the pure elements (meV/atom) = -53